The following is a DFT calculation (GGA+U) of a relaxed structure of FeBiOF2.

The space group is P4/mmm (No. 123) and the conventional cell measures 4.155, 4.155 and 4.074 Å, with angles of 90.00, 90.00 and 90.00 degrees. The inequivalent atoms are Fe at (0.000, 0.000, 0.000), Bi at (0.500, 0.500, 0.500), O at (0.000, 0.000, 0.500) and F at (0.000, 0.500, 0.000).

The calculation puts the total magnetization at 3.91 μB per formula unit. The calculation puts the distance to the lowest polymorph of the same formula at 0.000 eV per atom. As for the total energy: -5.0996 eV/atom.